The following is a PBE calculation of a relaxed structure of Cs2ZnCdCl6, from Alexandria.

Computed properties:
- DOS at the Fermi energy (states/eV/atom) = 0.00
- E (eV per formula unit) = -29.5
- ΔE_f (raw) (meV/atom) = -1452

Cell: 7.347 7.347 7.348 Å, 60.01 60.01 90.00°
Atoms (fractional coordinates):
Cs1 0.250 0.750 0.500
Cl1 0.258 0.742 0.000
Cl2 0.258 0.258 0.000
Cl3 0.742 0.258 0.000
Cl4 0.257 0.257 0.486
Zn1 0.500 0.500 0.000
Cd1 0.000 0.000 0.000
Cl5 0.743 0.743 0.514
Cs2 0.750 0.250 0.500
Cl6 0.742 0.742 0.000